## K3TcO6 (GGA-PBE)

Data for crystalline K3TcO6 at its relaxed geometry.

As for the uncorrected formation energy: -1.226 eV per atom. The value obtained for the total magnetization is 2.0 μB per formula unit.

It has space group P2_1/c (No. 14), with a = 6.2562 Å, b = 6.4245 Å, c = 10.8774 Å, α = 90.00°, β = 125.03° and γ = 90.00°. Symmetry generates all atoms from K at (0.0000, 0.0000, 0.0000), K at (0.2373, 0.0415, 0.7475), Tc at (0.5000, 0.0000, 0.5000), O at (0.2240, 0.1661, 0.4672), O at (0.2905, 0.7400, 0.9501) and O at (0.3756, 0.0327, 0.2972).